Record 1
Crystalline Ac2GePd4Au2 at its relaxed geometry, computed with GGA-PBE.

total moment	0.000	μB/f.u.
SG	I4/mmm (139)
uncorrected energy	-5.1609	eV per atom

Geometry as POSCAR:
```
Ac2GePd4Au2
1.0
-5.992 1.580 -2.151
0.892 -4.760 4.425
3.349 3.979 3.997
Ac Ge Pd Au
2 1 4 2
direct
0.500 0.750 0.250
0.500 0.250 0.750
0.000 0.000 0.000
0.000 0.726 0.274
0.452 0.726 0.726
0.000 0.274 0.726
0.548 0.274 0.274
0.000 0.713 0.713
0.000 0.287 0.287
```



Record 2
Crystalline Ac2Ge3Pd12Au at its relaxed geometry, computed with GGA-PBE.

total moment	0.000	μB/f.u.
SG	R-3m (166)
uncorrected energy	-5.2038	eV per atom

Geometry as POSCAR:
```
Ac2Ge3Pd12Au
1.0
6.784 -1.500 -1.064
2.046 6.639 -1.064
2.046 1.191 6.618
Ac Ge Pd Au
2 3 12 1
direct
0.646 0.646 0.646
0.354 0.354 0.354
0.500 0.000 0.000
0.000 0.500 0.000
0.000 0.000 0.500
0.377 0.377 0.905
0.818 0.818 0.314
0.314 0.818 0.818
0.905 0.377 0.377
0.818 0.314 0.818
0.377 0.905 0.377
0.623 0.623 0.095
0.182 0.182 0.686
0.686 0.182 0.182
0.095 0.623 0.623
0.182 0.686 0.182
0.623 0.095 0.623
0.000 0.000 0.000
```



Record 3
Crystalline AcGePd6Au at its relaxed geometry, computed with GGA-PBE.

total moment	0.000	μB/f.u.
SG	Imma (74)
uncorrected energy	-5.0123	eV per atom

Geometry as POSCAR:
```
AcGePd6Au
1.0
6.639 0.000 0.000
0.000 9.548 0.000
-3.319 -4.774 5.733
Ac Ge Pd Au
2 2 12 2
direct
0.820 0.570 0.639
0.180 0.430 0.361
0.500 0.500 0.000
0.500 0.000 0.000
0.439 0.689 0.877
0.937 0.187 0.875
0.913 0.120 0.254
0.341 0.634 0.254
0.341 0.120 0.254
0.913 0.634 0.254
0.561 0.311 0.123
0.063 0.813 0.125
0.087 0.880 0.746
0.659 0.366 0.746
0.659 0.880 0.746
0.087 0.366 0.746
0.500 0.000 0.500
0.000 0.000 0.500
```



Record 4
Crystalline Ac3Ge2Pd6Au at its relaxed geometry, computed with GGA-PBE.

total moment	0.000	μB/f.u.
SG	P-3m1 (164)
uncorrected energy	-5.3367	eV per atom

Geometry as POSCAR:
```
Ac3Ge2Pd6Au
1.0
5.805 0.000 0.000
-2.902 5.027 0.000
0.000 0.000 9.593
Ac Ge Pd Au
3 2 6 1
direct
0.333 0.667 0.617
0.667 0.333 0.383
0.000 0.000 0.000
0.667 0.333 0.931
0.333 0.667 0.069
0.661 0.831 0.274
0.169 0.339 0.274
0.169 0.831 0.274
0.831 0.661 0.726
0.339 0.169 0.726
0.831 0.169 0.726
0.000 0.000 0.500
```